No. 1
DFT (GGA-PBEsol) results for a relaxed CuReS2Cl crystal.

a = 4.5445 Å, b = 4.5445 Å, c = 4.3313 Å
α = 90.00°, β = 90.00°, γ = 90.00°
Last column: nearest neighbours and their distance in Å.
Atoms (fractional coordinates):
Cu 0.0000 0.0000 0.0000  2 Cl 2.17, 4 S 2.27
Re 0.5000 0.5000 0.5000  8 S 3.14, 4 Cl 3.21
S 0.0000 0.5000 0.0000  2 Cu 2.27
S 0.5000 0.0000 0.0000  2 Cu 2.27
Cl 0.0000 0.0000 0.5000  2 Cu 2.17

symmetry: P4/mmm, No. 123
N(E_F): 2.55 states/eV/cell


No. 2
DFT (GGA-PBEsol) results for a relaxed CuReSCl2 crystal.

a = 4.4100 Å, b = 4.4100 Å, c = 4.9126 Å
α = 90.00°, β = 90.00°, γ = 90.00°
Last column: nearest neighbours and their distance in Å.
Atoms (fractional coordinates):
Cu 0.0000 0.0000 0.0000  4 Cl 2.20, 2 S 2.46
Re 0.5000 0.5000 0.5000  4 S 3.12, 8 Cl 3.30
S 0.0000 0.0000 0.5000  2 Cu 2.46
Cl 0.0000 0.5000 0.0000  2 Cu 2.20
Cl 0.5000 0.0000 0.0000  2 Cu 2.20

symmetry: P4/mmm, No. 123
N(E_F): 1.79 states/eV/cell


No. 3
DFT (GGA-PBEsol) results for a relaxed Cu2RhCl crystal.

a = 4.5652 Å, b = 4.5652 Å, c = 2.8234 Å
α = 90.00°, β = 90.00°, γ = 114.40°
Last column: nearest neighbours and their distance in Å.
Atoms (fractional coordinates):
Cu 0.0000 0.5000 0.0000  2 Cu 2.47, 4 Cl 2.68, 4 Rh 2.68
Cu 0.5000 0.0000 0.0000  2 Cu 2.47, 4 Cl 2.68, 4 Rh 2.68
Rh 0.0000 0.0000 0.5000  2 Cl 2.47, 8 Cu 2.68
Cl 0.5000 0.5000 0.5000  2 Rh 2.47, 8 Cu 2.68

symmetry: Cmmm, No. 65
N(E_F): 3.07 states/eV/cell
E above lowest polymorph: 0.77 eV per formula unit


No. 4
DFT (GGA-PBEsol) results for a relaxed Cu2RhCl crystal.

a = 2.9743 Å, b = 2.9743 Å, c = 6.1344 Å
α = 90.00°, β = 90.00°, γ = 90.00°
Last column: nearest neighbours and their distance in Å.
Atoms (fractional coordinates):
Cu 0.0000 0.0000 0.0000  4 Cu 2.48, 4 Cl 2.65, 1 Rh 2.70
Cu 0.5000 0.5000 0.2152  4 Cu 2.48, 4 Rh 2.52
Rh 0.0000 0.0000 0.4406  5 Cu 2.52-2.70, 4 Cl 2.78
Cl 0.5000 0.5000 0.7359  5 Cu 2.65-2.94, 4 Rh 2.78

symmetry: P4mm, No. 99
N(E_F): 4.36 states/eV/cell
E above lowest polymorph: 0.43 eV per formula unit


No. 5
DFT (GGA-PBEsol) results for a relaxed Cu2RhCl crystal.

a = 4.2196 Å, b = 4.2196 Å, c = 5.8464 Å
α = 98.43°, β = 98.43°, γ = 39.65°
Last column: nearest neighbours and their distance in Å.
Atoms (fractional coordinates):
Cu 0.0000 0.0000 0.0000  3 Cu 2.43-2.50, 3 Rh 2.45-2.49
Cu 0.7434 0.7434 0.1773  1 Cl 2.22, 1 Cu 2.43
Rh 0.2584 0.2584 0.8196  2 Cl 2.33, 5 Cu 2.45-2.55
Cl 0.6507 0.6507 0.5166  1 Cu 2.22, 2 Rh 2.33

symmetry: Cm, No. 8
N(E_F): 3.52 states/eV/cell
E above lowest polymorph: 0.23 eV per formula unit


No. 6
DFT (GGA-PBEsol) results for a relaxed Cu2RhCl crystal.

a = 7.7257 Å, b = 7.7257 Å, c = 7.7257 Å
α = 21.54°, β = 21.54°, γ = 21.54°
Last column: nearest neighbours and their distance in Å.
Atoms (fractional coordinates):
Cu 0.2475 0.2475 0.2475  3 Cl 2.48, 3 Rh 2.56
Cu 0.7525 0.7525 0.7525  3 Cl 2.48, 3 Rh 2.56
Rh 0.0000 0.0000 0.0000  6 Cu 2.56
Cl 0.5000 0.5000 0.5000  6 Cu 2.48

symmetry: R-3m, No. 166
N(E_F): 5.04 states/eV/cell
E above lowest polymorph: 0.08 eV per formula unit


No. 7
DFT (GGA-PBEsol) results for a relaxed Cu2RhCl crystal.

a = 3.0339 Å, b = 2.9360 Å, c = 6.4692 Å
α = 90.00°, β = 90.08°, γ = 90.00°
Last column: nearest neighbours and their distance in Å.
Atoms (fractional coordinates):
Cu 0.0000 0.0000 0.0000  2 Cl 2.40, 4 Cu 2.47, 1 Rh 2.65
Cu 0.4992 0.5000 0.8027  4 Cu 2.47, 4 Rh 2.52
Rh 0.9986 0.0000 0.5902  2 Cl 2.42, 5 Cu 2.52-2.65
Cl 0.9997 0.5000 0.2933  2 Cu 2.40, 2 Rh 2.42

symmetry: Pm, No. 6
N(E_F): 4.25 states/eV/cell
E above lowest polymorph: 0.00 eV per formula unit


No. 8
DFT (GGA-PBEsol) results for a relaxed Cu2RhCl crystal.

a = 4.2611 Å, b = 4.2611 Å, c = 4.2611 Å
α = 60.00°, β = 60.00°, γ = 60.00°
Last column: nearest neighbours and their distance in Å.
Atoms (fractional coordinates):
Cu 0.2500 0.2500 0.2500  4 Cl 2.61, 4 Rh 2.61
Cu 0.7500 0.7500 0.7500  4 Cl 2.61, 4 Rh 2.61
Rh 0.0000 0.0000 0.0000  8 Cu 2.61
Cl 0.5000 0.5000 0.5000  8 Cu 2.61

symmetry: Fm-3m, No. 225
N(E_F): 6.39 states/eV/cell
E above lowest polymorph: 1.79 eV per formula unit


Number 1: formation energy without anion corrections 1.149 eV per atom. Number 2: formation energy without anion corrections 0.979 eV per atom. Number 3: formation energy without anion corrections 0.367 eV per atom. Number 4: formation energy without anion corrections 0.280 eV per atom. Number 5: formation energy without anion corrections 0.230 eV per atom. Number 6: formation energy without anion corrections 0.194 eV per atom. Number 7: formation energy without anion corrections 0.174 eV per atom. Number 8: formation energy without anion corrections 0.622 eV per atom.